A | The following is a DFT calculation (PBE-GGA) of crystalline ZrGeTe3 at its relaxed geometry.

Structure (CIF):
```
data_ZrGeTe3
_chemical_formula_sum 'Zr4 Ge4 Te12'
_cell_length_a 4.048
_cell_length_b 10.622
_cell_length_c 15.640
_cell_angle_alpha 90.00
_cell_angle_beta 90.00
_cell_angle_gamma 90.00
_space_group_name_H-M_alt 'P 1'
_space_group_IT_number 1
loop_
_space_group_symop_operation_xyz
'x,y,z'
loop_
_atom_site_label
_atom_site_fract_x
_atom_site_fract_y
_atom_site_fract_z
Zr1 0.250 0.846 0.538
Zr2 0.750 0.654 0.038
Zr3 0.750 0.154 0.462
Zr4 0.250 0.346 0.962
Ge1 0.750 0.566 0.618
Ge2 0.250 0.934 0.118
Ge3 0.250 0.434 0.382
Ge4 0.750 0.066 0.882
Te1 0.250 0.703 0.696
Te2 0.750 0.797 0.196
Te3 0.750 0.297 0.304
Te4 0.250 0.203 0.804
Te5 0.750 0.004 0.618
Te6 0.250 0.496 0.118
Te7 0.250 0.996 0.382
Te8 0.750 0.504 0.882
Te9 0.750 0.680 0.459
Te10 0.250 0.820 0.959
Te11 0.250 0.320 0.541
Te12 0.750 0.180 0.041
```

=====

B | The following is a DFT calculation (PBE-GGA) of crystalline ZrGeTe3 at its relaxed geometry.

Structure (CIF):
```
data_ZrGeTe3
_chemical_formula_sum 'Zr1 Ge1 Te3'
_cell_length_a 5.293
_cell_length_b 5.293
_cell_length_c 5.293
_cell_angle_alpha 90.00
_cell_angle_beta 90.00
_cell_angle_gamma 90.00
_space_group_name_H-M_alt 'P 1'
_space_group_IT_number 1
loop_
_space_group_symop_operation_xyz
'x,y,z'
loop_
_atom_site_label
_atom_site_fract_x
_atom_site_fract_y
_atom_site_fract_z
Ge1 0.000 0.000 0.000
Te1 0.000 0.500 0.000
Te2 0.000 0.000 0.500
Te3 0.500 0.000 0.000
Zr1 0.500 0.500 0.500
```

=====

The structure with the greatest stability is A.

=====

A | The following is a DFT calculation (PBE-GGA) of crystalline ZrGeTe3 at its relaxed geometry.

Structure (CIF):
```
data_ZrGeTe3
_chemical_formula_sum 'Zr2 Ge2 Te6'
_cell_length_a 4.036
_cell_length_b 8.515
_cell_length_c 11.891
_cell_angle_alpha 120.34
_cell_angle_beta 90.00
_cell_angle_gamma 90.00
_space_group_name_H-M_alt 'P 1'
_space_group_IT_number 1
loop_
_space_group_symop_operation_xyz
'x,y,z'
loop_
_atom_site_label
_atom_site_fract_x
_atom_site_fract_y
_atom_site_fract_z
Zr1 0.250 0.143 0.168
Zr2 0.750 0.857 0.832
Ge1 0.250 0.190 0.671
Ge2 0.750 0.810 0.329
Te1 0.250 0.158 0.932
Te2 0.750 0.842 0.068
Te3 0.250 0.068 0.394
Te4 0.750 0.932 0.606
Te5 0.250 0.595 0.697
Te6 0.750 0.405 0.303
```

=====

B | The following is a DFT calculation (PBE-GGA) of crystalline ZrGeTe3 at its relaxed geometry.

Structure (CIF):
```
data_ZrGeTe3
_chemical_formula_sum 'Zr1 Ge1 Te3'
_cell_length_a 5.590
_cell_length_b 5.590
_cell_length_c 5.590
_cell_angle_alpha 90.00
_cell_angle_beta 90.00
_cell_angle_gamma 90.00
_space_group_name_H-M_alt 'P 1'
_space_group_IT_number 1
loop_
_space_group_symop_operation_xyz
'x,y,z'
loop_
_atom_site_label
_atom_site_fract_x
_atom_site_fract_y
_atom_site_fract_z
Ge1 0.500 0.500 0.500
Te1 0.000 0.500 0.000
Te2 0.000 0.000 0.500
Te3 0.500 0.000 0.000
Zr1 0.000 0.000 0.000
```

=====

The structure with the greatest stability is A.

=====

A | The following is a DFT calculation (PBE-GGA) of crystalline Th2TlGe at its relaxed geometry.

Structure (CIF):
```
data_Th2TlGe
_chemical_formula_sum 'Th2 Tl1 Ge1'
_cell_length_a 4.188
_cell_length_b 4.188
_cell_length_c 8.435
_cell_angle_alpha 75.63
_cell_angle_beta 75.63
_cell_angle_gamma 60.00
_space_group_name_H-M_alt 'P 1'
_space_group_IT_number 1
loop_
_space_group_symop_operation_xyz
'x,y,z'
loop_
_atom_site_label
_atom_site_fract_x
_atom_site_fract_y
_atom_site_fract_z
Tl1 0.500 0.500 0.500
Ge1 0.000 0.000 0.000
Th1 0.738 0.738 0.785
Th2 0.262 0.262 0.215
```

=====

B | The following is a DFT calculation (PBE-GGA) of crystalline Th2TlGe at its relaxed geometry.

Structure (CIF):
```
data_Th2TlGe
_chemical_formula_sum 'Th2 Tl1 Ge1'
_cell_length_a 3.944
_cell_length_b 3.944
_cell_length_c 7.011
_cell_angle_alpha 90.00
_cell_angle_beta 90.00
_cell_angle_gamma 90.00
_space_group_name_H-M_alt 'P 1'
_space_group_IT_number 1
loop_
_space_group_symop_operation_xyz
'x,y,z'
loop_
_atom_site_label
_atom_site_fract_x
_atom_site_fract_y
_atom_site_fract_z
Tl1 0.500 0.500 0.500
Ge1 0.500 0.500 0.000
Th1 0.000 0.000 0.769
Th2 0.000 0.000 0.231
```

=====

The structure with the greatest stability is A.

=====

A | The following is a DFT calculation (PBE-GGA) of crystalline ThUGe2 at its relaxed geometry.

Structure (CIF):
```
data_ThUGe2
_chemical_formula_sum 'Th1 U1 Ge2'
_cell_length_a 3.408
_cell_length_b 3.408
_cell_length_c 7.977
_cell_angle_alpha 90.00
_cell_angle_beta 90.00
_cell_angle_gamma 90.00
_space_group_name_H-M_alt 'P 1'
_space_group_IT_number 1
loop_
_space_group_symop_operation_xyz
'x,y,z'
loop_
_atom_site_label
_atom_site_fract_x
_atom_site_fract_y
_atom_site_fract_z
Ge1 0.000 0.000 0.760
Ge2 0.000 0.000 0.240
U1 0.500 0.500 0.000
Th1 0.500 0.500 0.500
```

=====

B | The following is a DFT calculation (PBE-GGA) of crystalline ThUGe2 at its relaxed geometry.

Structure (CIF):
```
data_ThUGe2
_chemical_formula_sum 'Th1 U1 Ge2'
_cell_length_a 4.187
_cell_length_b 4.187
_cell_length_c 7.338
_cell_angle_alpha 73.43
_cell_angle_beta 73.43
_cell_angle_gamma 60.00
_space_group_name_H-M_alt 'P 1'
_space_group_IT_number 1
loop_
_space_group_symop_operation_xyz
'x,y,z'
loop_
_atom_site_label
_atom_site_fract_x
_atom_site_fract_y
_atom_site_fract_z
Ge1 0.745 0.745 0.766
Ge2 0.255 0.255 0.234
U1 0.000 0.000 0.000
Th1 0.500 0.500 0.500
```

=====

The structure with the greatest stability is B.

=====

A | The following is a DFT calculation (PBE-GGA) of crystalline YThGe at its relaxed geometry.

Structure (CIF):
```
data_YThGe
_chemical_formula_sum 'Y1 Th1 Ge1'
_cell_length_a 4.112
_cell_length_b 4.851
_cell_length_c 4.851
_cell_angle_alpha 120.00
_cell_angle_beta 90.00
_cell_angle_gamma 90.00
_space_group_name_H-M_alt 'P 1'
_space_group_IT_number 1
loop_
_space_group_symop_operation_xyz
'x,y,z'
loop_
_atom_site_label
_atom_site_fract_x
_atom_site_fract_y
_atom_site_fract_z
Y1 0.556 0.667 0.333
Ge1 0.397 0.333 0.667
Th1 0.047 0.000 0.000
```

=====

B | The following is a DFT calculation (PBE-GGA) of crystalline YThGe at its relaxed geometry.

Structure (CIF):
```
data_YThGe
_chemical_formula_sum 'Y2 Th2 Ge2'
_cell_length_a 4.091
_cell_length_b 4.091
_cell_length_c 12.999
_cell_angle_alpha 80.95
_cell_angle_beta 80.95
_cell_angle_gamma 60.00
_space_group_name_H-M_alt 'P 1'
_space_group_IT_number 1
loop_
_space_group_symop_operation_xyz
'x,y,z'
loop_
_atom_site_label
_atom_site_fract_x
_atom_site_fract_y
_atom_site_fract_z
Ge1 0.083 0.083 0.752
Ge2 0.917 0.917 0.248
Y1 0.627 0.627 0.119
Y2 0.373 0.373 0.881
Th1 0.205 0.205 0.385
Th2 0.795 0.795 0.615
```

=====

The structure with the greatest stability is B.

=====

A | The following is a DFT calculation (PBE-GGA) of crystalline Th2ZnGe at its relaxed geometry.

Structure (CIF):
```
data_Th2ZnGe
_chemical_formula_sum 'Th2 Zn1 Ge1'
_cell_length_a 3.918
_cell_length_b 3.918
_cell_length_c 10.246
_cell_angle_alpha 78.98
_cell_angle_beta 78.98
_cell_angle_gamma 60.00
_space_group_name_H-M_alt 'P 1'
_space_group_IT_number 1
loop_
_space_group_symop_operation_xyz
'x,y,z'
loop_
_atom_site_label
_atom_site_fract_x
_atom_site_fract_y
_atom_site_fract_z
Ge1 0.500 0.500 0.500
Zn1 0.000 0.000 0.000
Th1 0.106 0.106 0.683
Th2 0.894 0.894 0.317
```

=====

B | The following is a DFT calculation (PBE-GGA) of crystalline Th2ZnGe at its relaxed geometry.

Structure (CIF):
```
data_Th2ZnGe
_chemical_formula_sum 'Th2 Zn1 Ge1'
_cell_length_a 4.142
_cell_length_b 4.867
_cell_length_c 4.867
_cell_angle_alpha 90.00
_cell_angle_beta 90.00
_cell_angle_gamma 90.00
_space_group_name_H-M_alt 'P 1'
_space_group_IT_number 1
loop_
_space_group_symop_operation_xyz
'x,y,z'
loop_
_atom_site_label
_atom_site_fract_x
_atom_site_fract_y
_atom_site_fract_z
Ge1 0.500 0.000 0.000
Zn1 0.500 0.500 0.500
Th1 0.000 0.000 0.500
Th2 0.000 0.500 0.000
```

=====

The structure with the greatest stability is B.